1.
Compound: CsYTe3
Source: Alexandria via LeMat-Bulk
Functional: PBE
Structure: relaxed

Unit cell a=6.093 b=6.093 c=6.093 alpha=90.00 beta=90.00 gamma=90.00
Sites, in units of the cell vectors:
1 Te 0.000 0.500 0.000
2 Y 0.500 0.500 0.500
3 Cs 0.000 0.000 0.000
4 Te 0.000 0.000 0.500
5 Te 0.500 0.000 0.000

Calculated values
formation energy (no corrections) = 686 meV/atom
size of the total moment = 0.00 μB per cell
energy above the lowest structure with this stoichiometry = 1669 meV per atom
calculated volume = 226.2 Å³/cell

2.
Compound: CsYTe2
Source: Alexandria via LeMat-Bulk
Functional: PBE
Structure: relaxed

Unit cell a=4.535 b=9.086 c=4.534 alpha=89.99 beta=120.00 gamma=90.00
Sites, in units of the cell vectors:
1 Te 0.867 0.318 0.430
2 Y 0.533 0.507 0.764
3 Cs 0.534 0.007 0.763
4 Te 0.200 0.696 0.097

Calculated values
formation energy (no corrections) = -1382 meV/atom
size of the total moment = 0.00 μB per cell
calculated volume = 161.8 Å³/cell

3.
Compound: CsYTe3
Source: Alexandria via LeMat-Bulk
Functional: PBE
Structure: relaxed

Unit cell a=5.989 b=5.989 c=5.989 alpha=90.00 beta=90.00 gamma=90.00
Sites, in units of the cell vectors:
1 Te 0.000 0.000 0.500
2 Cs 0.500 0.500 0.500
3 Te 0.000 0.500 0.000
4 Y 0.000 0.000 0.000
5 Te 0.500 0.000 0.000

Calculated values
formation energy (no corrections) = -874 meV/atom
size of the total moment = 0.01 μB per cell
energy above the lowest structure with this stoichiometry = 109 meV per atom
calculated volume = 214.8 Å³/cell

4.
Compound: Cs2YTe
Source: Alexandria via LeMat-Bulk
Functional: PBE
Structure: relaxed

Unit cell a=6.591 b=6.591 c=6.591 alpha=60.00 beta=60.00 gamma=60.00
Site moments in Bohr magnetons follow the coordinates.
Sites, in units of the cell vectors:
1 Cs 0.750 0.750 0.750  0.01
2 Te 0.500 0.500 0.500  -0.02
3 Y 0.000 0.000 0.000  0.53
4 Cs 0.250 0.250 0.250  0.01

Calculated values
formation energy (no corrections) = 194 meV/atom
size of the total moment = 1.00 μB per cell
energy above the lowest structure with this stoichiometry = 438 meV per atom
calculated volume = 202.4 Å³/cell

5.
Compound: CsYTe2
Source: Alexandria via LeMat-Bulk
Functional: PBE
Structure: relaxed

Unit cell a=17.933 b=7.804 c=7.804 alpha=90.96 beta=131.59 gamma=48.41
Sites, in units of the cell vectors:
1 Te 0.675 0.484 0.688
2 Te 0.334 0.997 0.677
3 Cs 0.254 0.608 0.643
4 Y 0.254 0.060 0.190
5 Te 0.175 0.812 0.016
6 Te 0.834 0.823 0.503
7 Cs 0.754 0.857 0.892
8 Y 0.754 0.310 0.440

Calculated values
formation energy (no corrections) = -1232 meV/atom
size of the total moment = 0.00 μB per cell
calculated volume = 398.7 Å³/cell

6.
Compound: CsYTe2
Source: Alexandria via LeMat-Bulk
Functional: PBE
Structure: relaxed

Unit cell a=4.578 b=4.578 c=9.606 alpha=90.00 beta=90.00 gamma=120.00
Sites, in units of the cell vectors:
1 Te 0.667 0.333 0.180
2 Y 0.000 0.000 0.997
3 Te 0.333 0.667 0.831
4 Cs 0.333 0.667 0.447

Calculated values
formation energy (no corrections) = -1312 meV/atom
size of the total moment = 0.00 μB per cell
calculated volume = 174.3 Å³/cell